# 1
A relaxed CaFe2Cu crystal. Source: the Alexandria database, functional PBE.

```
CaFe2Cu
1.0
1.412 0.815 8.996
-1.412 0.815 8.996
0.000 -1.631 8.996
Ca Fe Cu
1 2 1
Direct
0.000 0.000 0.000
0.240 0.240 0.240
0.760 0.760 0.760
0.500 0.500 0.500
```

calculated formation energy = 0.7306 eV per atom
SG = R-3m, No. 166

# 2
A relaxed VCuRe2C crystal. Source: the Alexandria database, functional PBE.

```
VCuRe2C
1.0
4.044 0.000 0.000
0.000 4.044 0.000
0.000 0.000 3.946
V Cu Re C
1 1 2 1
Direct
0.000 0.000 0.000
0.500 0.500 0.000
0.000 0.500 0.500
0.500 0.000 0.500
0.000 0.000 0.500
```

calculated formation energy = 0.2467 eV per atom
SG = P4/mmm, No. 123

# 3
A relaxed KScI2F crystal. Source: the Alexandria database, functional PBE.

```
KScI2F
1.0
6.106 0.000 0.000
0.000 6.106 0.000
0.000 0.000 4.189
K Sc I F
1 1 2 1
Direct
0.000 0.000 0.000
0.500 0.500 0.500
0.000 0.500 0.500
0.500 0.000 0.500
0.500 0.500 0.000
```

ΔE_f (raw) = -1.8331 eV/atom
SG = P4/mmm, No. 123

# 4
A relaxed LiAl2Cd crystal. Source: the Alexandria database, functional PBE.

```
LiAl2Cd
1.0
0.000 2.978 4.064
2.948 0.000 4.064
2.948 2.978 0.000
Li Al Cd
1 2 1
Direct
0.000 0.000 0.000
0.250 0.250 0.250
0.500 0.500 0.500
0.750 0.750 0.750
```

calculated formation energy = -0.0480 eV per atom
SG = F222, No. 22

# 5
A relaxed ZrFeTc crystal. Source: the Alexandria database, functional PBE.

```
ZrFeTc
1.0
3.888 -2.245 0.000
3.888 2.245 0.000
-0.014 0.000 5.416
Zr Fe Tc
2 2 2
Direct
0.166 0.166 0.317
0.834 0.834 0.683
0.167 0.167 0.837
0.833 0.833 0.163
0.500 0.500 0.000
0.500 0.500 0.500
```

calculated formation energy = -0.0738 eV per atom
distance to the lowest polymorph of the same formula = 0.199 eV per atom
SG = C2/m, No. 12

# 6
A relaxed AsIrRh2 crystal. Source: the Alexandria database, functional PBE.

```
AsIrRh2
1.0
3.848 0.000 0.000
0.000 3.848 0.000
0.000 0.000 3.924
As Ir Rh
1 1 2
Direct
0.000 0.000 0.000
0.500 0.500 0.000
0.000 0.500 0.500
0.500 0.000 0.500
```

calculated formation energy = -0.0489 eV per atom
SG = P4/mmm, No. 123

# 7
A relaxed CdSn2PbBr8 crystal. Source: the Alexandria database, functional PBE.

```
CdSn2PbBr8
1.0
6.754 0.000 0.000
0.000 8.844 0.000
-0.071 0.000 7.130
Cd Sn Pb Br
1 2 1 8
Direct
0.000 0.000 0.000
0.500 0.241 0.500
0.500 0.759 0.500
0.000 0.500 0.000
0.235 0.231 0.155
0.235 0.769 0.155
0.248 0.000 0.669
0.264 0.500 0.656
0.736 0.500 0.344
0.752 0.000 0.331
0.765 0.231 0.845
0.765 0.769 0.845
```

ΔE_f (raw) = -0.7965 eV/atom
SG = P2/m, No. 10

# 8
A relaxed Ge4RuPt crystal. Source: the Alexandria database, functional PBE.

```
Ge4RuPt
1.0
6.637 0.000 0.000
0.000 6.725 0.000
-0.013 0.000 4.653
Ge Ru Pt
8 2 2
Direct
0.135 0.140 0.000
0.135 0.360 0.500
0.351 0.631 0.999
0.351 0.869 0.499
0.649 0.131 0.501
0.649 0.369 0.001
0.865 0.640 0.500
0.865 0.860 0.000
0.000 0.000 0.500
0.000 0.500 0.000
0.500 0.000 0.000
0.500 0.500 0.500
```

calculated formation energy = -0.1487 eV per atom
SG = P2_1/c, No. 14

# 9
A relaxed Zr4AlOs5 crystal. Source: the Alexandria database, functional PBE.

```
Zr4AlOs5
1.0
3.253 0.000 0.000
0.000 3.253 0.000
0.000 0.000 16.054
Zr Al Os
4 1 5
Direct
0.000 0.000 0.104
0.000 0.000 0.312
0.000 0.000 0.688
0.000 0.000 0.896
0.000 0.000 0.500
0.500 0.500 0.000
0.500 0.500 0.205
0.500 0.500 0.410
0.500 0.500 0.590
0.500 0.500 0.795
```

calculated formation energy = -0.4973 eV per atom
SG = P4/mmm, No. 123

# 10
A relaxed LiTeHAu2 crystal. Source: the Alexandria database, functional PBE.

```
LiTeHAu2
1.0
4.028 0.000 0.000
0.000 4.028 0.000
0.000 0.000 5.208
Li Te H Au
1 1 1 2
Direct
0.000 0.000 0.000
0.500 0.500 0.000
0.000 0.000 0.500
0.000 0.500 0.500
0.500 0.000 0.500
```

SG = P4/mmm, No. 123
VASP energy = -3.104 eV per atom

# 11
A relaxed Mg3Zr5 crystal. Source: the Alexandria database, functional PBE.

```
Mg3Zr5
1.0
8.846 0.000 0.000
-4.423 7.661 0.000
0.000 0.000 5.362
Mg Zr
6 10
Direct
0.000 0.399 0.250
0.000 0.601 0.750
0.399 0.000 0.250
0.399 0.399 0.750
0.601 0.000 0.750
0.601 0.601 0.250
0.000 0.219 0.750
0.000 0.781 0.250
0.219 0.000 0.750
0.219 0.219 0.250
0.333 0.667 0.000
0.333 0.667 0.500
0.667 0.333 0.000
0.667 0.333 0.500
0.781 0.000 0.250
0.781 0.781 0.750
```

calculated formation energy = 0.1887 eV per atom
distance to the lowest polymorph of the same formula = 0.166 eV per atom
SG = P6_3/mcm, No. 193

# 12
A relaxed TlAg crystal. Source: the Alexandria database, functional PBE.

```
TlAg
1.0
-4.354 4.354 4.354
4.354 -4.354 4.354
4.354 4.354 -4.354
Tl Ag
4 4
Direct
0.000 0.000 0.405
0.000 0.405 0.000
0.405 0.000 0.000
0.595 0.595 0.595
0.000 0.000 0.767
0.000 0.767 0.000
0.233 0.233 0.233
0.767 0.000 0.000
```

calculated formation energy = 0.4063 eV per atom
SG = I-43m, No. 217

| no. | DOS(E_F) (states/eV/cell) |
| --- | --- |
| 1 | 5.1 |
| 2 | 5.2 |
| 3 | 1.2 |
| 4 | 1.4 |
| 5 | 5.5 |
| 6 | 1.9 |
| 7 | 0.0 |
| 8 | 7.3 |
| 9 | 1.4 |
| 10 | 2.0 |
| 11 | 21.1 |
| 12 | 5.1 |